[1]
## Hg3PtI (PBE)

Data for an optimized crystal structure of Hg3PtI.

Calculated values
As for the relative energy among the computed polymorphs: 5.76 eV per formula unit. The value obtained for the energy is -0.59 eV/atom. As for the energy relative to the elements, uncorrected: 5.56 eV per formula unit.

a b c (Å): 5.846 5.846 5.846
angles (deg): 90.00 90.00 90.00
Space group Pm-3m (No. 221)
Symmetry-distinct sites (fractional):
Hg1 0.000 0.000 0.500 (multiplicity 3)
Pt1 0.500 0.500 0.500 (multiplicity 1)
I1 0.000 0.000 0.000 (multiplicity 1)



[2]
## Mg7In2Pd2 (PBE)

Data for an optimized crystal structure of Mg7In2Pd2.

Calculated values
The value obtained for the energy of formation from the pure elements is -185 meV/atom. As for the relative energy among the computed polymorphs: 1.37 eV per formula unit. The value obtained for the energy is -2.64 eV/atom.

a b c (Å): 7.475 9.952 6.967
angles (deg): 90.00 90.00 90.00
Space group Cmmm (No. 65)
Symmetry-distinct sites (fractional):
Mg1 0.000 0.000 0.000 (multiplicity 2)
Mg2 0.000 0.500 0.220 (multiplicity 4)
Mg3 0.250 0.250 0.263 (multiplicity 8)
In1 0.191 0.000 0.500 (multiplicity 4)
Pd1 0.000 0.277 0.000 (multiplicity 4)



[3]
## PmGa3PtAu (PBE)

Data for an optimized crystal structure of PmGa3PtAu.

Calculated values
The value obtained for the energy of formation from the pure elements is -424 meV/atom. The value obtained for the energy is -4.28 eV/atom.

a b c (Å): 6.556 14.792 5.844
angles (deg): 90.00 90.00 90.00
Space group Cmcm (No. 63)
Symmetry-distinct sites (fractional):
Pm1 0.000 0.158 0.250 (multiplicity 4)
Ga1 0.000 0.223 0.750 (multiplicity 4)
Ga2 0.211 0.500 0.000 (multiplicity 8)
Pt1 0.000 0.061 0.750 (multiplicity 4)
Au1 0.000 0.385 0.750 (multiplicity 4)



[4]
## LuZr2In (PBE)

Data for an optimized crystal structure of LuZr2In.

Calculated values
The value obtained for the energy of formation from the pure elements is -202 meV/atom. As for the relative energy among the computed polymorphs: 0.00 eV per formula unit. The value obtained for the energy is -6.29 eV/atom.

a b c (Å): 4.536 4.536 4.566
angles (deg): 90.00 90.00 90.00
Space group P4/mmm (No. 123)
Symmetry-distinct sites (fractional):
Lu1 0.000 0.000 0.000 (multiplicity 1)
Zr1 0.000 0.500 0.500 (multiplicity 2)
In1 0.500 0.500 0.000 (multiplicity 1)



[5]
## VCo3Pt (PBE)

Data for an optimized crystal structure of VCo3Pt.

Calculated values
The value obtained for the energy of formation from the pure elements is 1427 meV/atom. As for the relative energy among the computed polymorphs: 6.79 eV per formula unit. The value obtained for the energy is -5.87 eV/atom.

a b c (Å): 4.565 4.565 4.565
angles (deg): 90.00 90.00 90.00
Space group Pm-3m (No. 221)
Symmetry-distinct sites (fractional):
V1 0.000 0.000 0.000 (multiplicity 1)
Co1 0.000 0.500 0.500 (multiplicity 3)
Pt1 0.500 0.500 0.500 (multiplicity 1)



[6]
## CuTe12Pd7 (PBE)

Data for an optimized crystal structure of CuTe12Pd7.

Calculated values
The value obtained for the energy is -4.09 eV/atom. As for the energy relative to the elements, uncorrected: -3.71 eV per formula unit.

a b c (Å): 12.8183 12.8183 10.9521
angles (deg): 90.00 90.00 120.00
Space group R-3 (No. 148, hexagonal axes)
Symmetry-distinct sites (fractional):
Cu1 0.0000 0.0000 0.0000 (multiplicity 3)
Te1 0.0533 0.1794 0.3373 (multiplicity 18)
Te2 0.0527 0.7756 0.9901 (multiplicity 18)
Pd1 0.0000 0.0000 0.5000 (multiplicity 3)
Pd2 0.0518 0.1697 0.8231 (multiplicity 18)